{"formula": "RbZrAs3", "functional": "GGA-PBE", "state": "relaxed", "lattice": [[5.256, 0.000, 0.000], [0.000, 5.256, 0.000], [0.000, 0.000, 5.256]], "species": ["Rb", "Zr", "As", "As", "As"], "fractional_positions": [[0.000, 0.000, 0.000], [0.500, 0.500, 0.500], [0.000, 0.000, 0.500], [0.500, 0.000, 0.000], [0.000, 0.500, 0.000]], "mass_density_g_cm3": 4.59, "formation_enthalpy_0k_ev_per_atom": 1.64, "vol_a3_per_cell": 145.2, "spacegroup": "No. 221", "e_tot_ev_per_atom": -3.05, "polymorph_energy_ev_per_fu": 9.55}

{"formula": "Nd4SmTe6", "functional": "GGA-PBE", "state": "relaxed", "lattice": [[-3.861, -1.714, -1.125], [5.338, -5.177, -1.939], [-1.774, -9.574, 20.683]], "species": ["Te", "Te", "Nd", "Te", "Te", "Te", "Te", "Te", "Nd", "Nd", "Sm", "Te", "Nd", "Nd", "Te", "Te", "Te", "Nd", "Nd", "Te", "Sm", "Nd"], "fractional_positions": [[0.500, 0.000, 0.000], [0.941, 0.883, 0.667], [0.856, 0.713, 0.963], [0.311, 0.622, 0.250], [0.769, 0.538, 0.406], [0.689, 0.378, 0.750], [0.941, 0.883, 0.833], [0.500, 0.000, 0.500], [0.856, 0.713, 0.537], [0.144, 0.287, 0.037], [0.656, 0.311, 0.250], [0.059, 0.117, 0.167], [0.144, 0.287, 0.463], [0.586, 0.171, 0.627], [0.231, 0.462, 0.906], [0.059, 0.117, 0.333], [0.231, 0.462, 0.594], [0.414, 0.829, 0.127], [0.414, 0.829, 0.373], [0.769, 0.538, 0.094], [0.344, 0.689, 0.750], [0.586, 0.171, 0.873]], "mass_density_g_cm3": 6.73, "vol_a3_per_cell": 736.2, "spacegroup": "No. 63", "e_form_raw_kcal_per_mol_atoms": -33.0, "e_tot_ev_per_atom": -5.31}

{"formula": "KGaSn", "functional": "GGA-PBE", "state": "relaxed", "lattice": [[7.991, 0.000, 0.000], [0.000, 4.607, 0.000], [0.000, 0.000, 5.580]], "species": ["K", "Sn", "Ga", "Sn", "Ga", "K"], "fractional_positions": [[0.000, 0.000, 0.500], [0.178, 0.500, 0.000], [0.656, 0.000, 0.000], [0.822, 0.500, 0.000], [0.344, 0.000, 0.000], [0.500, 0.500, 0.500]], "mass_density_g_cm3": 3.68, "formation_enthalpy_0k_ev_per_atom": -0.19, "vol_a3_per_cell": 205.4, "spacegroup": "No. 47", "e_tot_ev_per_atom": -2.90}

{"formula": "FeTeN", "functional": "GGA-PBE", "state": "relaxed", "lattice": [[3.061, -0.014, 0.002], [0.032, 6.354, -0.209], [0.003, 1.513, 6.179]], "species": ["Fe", "Fe", "N", "Te", "N", "Te"], "fractional_positions": [[0.500, 0.634, 0.635], [0.500, 0.366, 0.365], [0.000, 0.708, 0.710], [0.500, 0.234, 0.764], [0.000, 0.292, 0.290], [0.500, 0.766, 0.236]], "mass_density_g_cm3": 5.41, "vol_a3_per_cell": 121.2, "spacegroup": "No. 10", "e_form_raw_kcal_per_mol_atoms": 6.2, "e_tot_ev_per_atom": -6.38}

{"formula": "MnCo2Rh", "functional": "GGA-PBE", "state": "relaxed", "lattice": [[-0.302, 0.625, 4.354], [-1.085, -4.163, -0.966], [2.490, -0.713, 0.275]], "species": ["Co", "Mn", "Co", "Rh"], "fractional_positions": [[0.500, 0.500, 0.000], [0.500, 0.000, 0.500], [0.000, 0.000, 0.000], [0.000, 0.500, 0.500]], "mass_density_g_cm3": 9.59, "formation_enthalpy_0k_ev_per_atom": 0.09, "vol_a3_per_cell": 47.7, "spacegroup": "No. 65", "e_tot_ev_per_atom": -7.60}

{"formula": "LiErPa2Se4", "functional": "GGA-PBE", "state": "relaxed", "lattice": [[-0.561, 0.505, -3.787], [-6.586, 0.134, 0.993], [2.471, 7.036, 0.573]], "species": ["Er", "Se", "Se", "Pa", "Li", "Se", "Pa", "Se"], "fractional_positions": [[0.500, 0.500, 0.000], [0.000, 0.754, 0.233], [0.500, 0.237, 0.231], [0.000, 0.500, 0.500], [0.000, 0.000, 0.000], [0.000, 0.246, 0.767], [0.500, 0.000, 0.500], [0.500, 0.763, 0.769]], "mass_density_g_cm3": 8.60, "vol_a3_per_cell": 183.8, "spacegroup": "No. 10", "e_form_raw_kcal_per_mol_atoms": -31.8, "e_tot_ev_per_atom": -6.31}

{"formula": "LiHoMg2Cd4", "functional": "GGA-PBE", "state": "relaxed", "lattice": [[4.940, 0.000, 0.000], [2.470, 4.278, 0.000], [2.470, 1.426, 8.297]], "species": ["Cd", "Ho", "Cd", "Mg", "Li", "Mg", "Cd", "Cd"], "fractional_positions": [[0.616, 0.616, 0.151], [0.000, 0.000, 0.000], [0.871, 0.871, 0.386], [0.749, 0.749, 0.754], [0.500, 0.500, 0.500], [0.251, 0.251, 0.246], [0.129, 0.129, 0.614], [0.384, 0.384, 0.849]], "mass_density_g_cm3": 6.35, "formation_enthalpy_0k_ev_per_atom": -0.23, "vol_a3_per_cell": 175.4, "spacegroup": "No. 166", "e_tot_ev_per_atom": -1.90}

{"formula": "La3PrCdNi", "functional": "GGA-PBE", "state": "relaxed", "lattice": [[-2.952, -1.027, 8.375], [-2.925, -7.210, 4.400], [6.440, -0.240, 0.417]], "species": ["Pr", "La", "Cd", "La", "La", "Pr", "Ni", "La", "La", "Ni", "Cd", "La"], "fractional_positions": [[0.267, 0.733, 0.500], [0.876, 0.368, 0.078], [0.687, 0.687, 0.695], [0.812, 0.812, 0.385], [0.188, 0.188, 0.615], [0.733, 0.267, 0.500], [0.998, 0.998, 0.802], [0.368, 0.876, 0.078], [0.124, 0.632, 0.922], [0.002, 0.002, 0.198], [0.313, 0.313, 0.305], [0.632, 0.124, 0.922]], "mass_density_g_cm3": 6.54, "formation_enthalpy_0k_ev_per_atom": -0.17, "vol_a3_per_cell": 370.2, "spacegroup": "No. 12", "e_tot_ev_per_atom": -4.54}

{"formula": "Hf2Ge4Mo", "functional": "GGA-PBE", "state": "relaxed", "lattice": [[4.830, 0.000, 0.000], [0.000, 4.830, 0.000], [2.415, 2.415, 6.614]], "species": ["Mo", "Hf", "Hf", "Ge", "Ge", "Ge", "Ge"], "fractional_positions": [[0.000, 0.000, 0.000], [0.609, 0.609, 0.783], [0.391, 0.391, 0.217], [0.193, 0.193, 0.614], [0.500, 0.000, 0.000], [0.807, 0.807, 0.386], [0.000, 0.500, 0.000]], "mass_density_g_cm3": 8.00, "formation_enthalpy_0k_ev_per_atom": 0.24, "vol_a3_per_cell": 154.3, "spacegroup": "No. 139", "e_tot_ev_per_atom": -6.79}

{"formula": "PrI", "functional": "GGA-PBE", "state": "relaxed", "lattice": [[3.975, 0.000, 0.000], [-1.987, 3.442, 0.000], [0.000, 0.000, 22.045]], "species": ["I", "Pr", "Pr", "Pr", "I", "I", "Pr", "I"], "fractional_positions": [[0.000, 0.000, 0.834], [0.667, 0.333, 0.729], [0.333, 0.667, 0.229], [0.000, 0.000, 0.479], [0.000, 0.000, 0.334], [0.667, 0.333, 0.584], [0.000, 0.000, 0.979], [0.333, 0.667, 0.084]], "mass_density_g_cm3": 5.90, "vol_a3_per_cell": 301.6, "spacegroup": "No. 186", "e_form_raw_kcal_per_mol_atoms": -18.1, "e_tot_ev_per_atom": -3.95}

{"formula": "KPmPt10", "functional": "GGA-PBE", "state": "relaxed", "lattice": [[-1.969, -2.629, -2.917], [2.319, -4.366, 2.371], [-7.412, -0.819, 5.741]], "species": ["Pt", "Pt", "Pt", "Pt", "Pt", "Pt", "Pt", "Pt", "Pm", "Pt", "Pt", "K"], "fractional_positions": [[0.500, 0.000, 0.500], [0.500, 0.254, 0.256], [0.500, 0.254, 0.744], [0.000, 0.500, 0.830], [0.000, 0.500, 0.170], [0.000, 0.000, 0.336], [0.500, 0.746, 0.744], [0.500, 0.746, 0.256], [0.000, 0.500, 0.500], [0.000, 0.000, 0.664], [0.500, 0.500, 0.000], [0.000, 0.000, 0.000]], "mass_density_g_cm3": 15.64, "formation_enthalpy_0k_ev_per_atom": -0.42, "vol_a3_per_cell": 226.7, "spacegroup": "No. 47", "e_tot_ev_per_atom": -5.94}

{"formula": "Mn2Nb2Fe15", "functional": "GGA-PBE", "state": "relaxed", "lattice": [[6.171, 0.062, 0.055], [0.862, 6.110, 0.055], [0.862, 0.756, 6.064]], "species": ["Nb", "Fe", "Fe", "Fe", "Fe", "Fe", "Fe", "Fe", "Nb", "Fe", "Fe", "Mn", "Fe", "Fe", "Mn", "Fe", "Fe", "Fe", "Fe"], "fractional_positions": [[0.338, 0.338, 0.338], [0.660, 0.163, 0.660], [0.682, 0.000, 0.318], [0.837, 0.340, 0.340], [0.000, 0.318, 0.682], [0.660, 0.660, 0.163], [0.318, 0.000, 0.682], [0.000, 0.682, 0.318], [0.662, 0.662, 0.662], [0.000, 0.500, 0.000], [0.340, 0.340, 0.837], [0.909, 0.909, 0.909], [0.318, 0.682, 0.000], [0.340, 0.837, 0.340], [0.091, 0.091, 0.091], [0.682, 0.318, 0.000], [0.163, 0.660, 0.660], [0.500, 0.000, 0.000], [0.000, 0.000, 0.500]], "mass_density_g_cm3": 8.26, "formation_enthalpy_0k_ev_per_atom": 0.07, "vol_a3_per_cell": 227.8, "spacegroup": "No. 166", "e_tot_ev_per_atom": -8.64}

{"formula": "LaVN3", "functional": "GGA-PBE", "state": "relaxed", "lattice": [[-3.686, 1.657, 0.101], [-1.637, -3.586, -0.894], [-3.254, -2.799, 8.049]], "species": ["La", "N", "N", "N", "N", "V", "N", "V", "La", "N"], "fractional_positions": [[0.652, 0.152, 0.695], [0.743, 0.743, 0.514], [0.267, 0.930, 0.140], [0.070, 0.733, 0.860], [0.592, 0.930, 0.140], [0.000, 0.000, 0.000], [0.070, 0.408, 0.860], [0.250, 0.750, 0.500], [0.848, 0.348, 0.305], [0.257, 0.257, 0.486]], "mass_density_g_cm3": 5.44, "vol_a3_per_cell": 141.5, "spacegroup": "No. 119", "e_form_raw_kcal_per_mol_atoms": -16.9, "e_tot_ev_per_atom": -8.54}